The following is a DFT calculation (PBE) of a relaxed NdMgZn17 crystal.

## Properties
Calculated total energy ... -1.6081 eV/atom
ΔE_f ... -133.4 meV per atom
Size of the total moment ... 0.00 μB/cell

Cell: 6.8220 6.8220 6.8220 Å, 82.49 82.49 82.49°
Atoms (fractional coordinates):
Nd 0.6608 0.6608 0.6608
Mg 0.3661 0.3661 0.3661
Zn 0.2949 0.0041 0.6936
Zn 0.6936 0.2949 0.0041
Zn 0.0041 0.6936 0.2949
Zn 0.2949 0.6936 0.0041
Zn 0.0041 0.2949 0.6936
Zn 0.6936 0.0041 0.2949
Zn 0.3476 0.8454 0.3476
Zn 0.3476 0.3476 0.8454
Zn 0.8454 0.3476 0.3476
Zn 0.6469 0.1640 0.6469
Zn 0.6469 0.6469 0.1640
Zn 0.1640 0.6469 0.6469
Zn 0.9886 0.5021 0.9886
Zn 0.9886 0.9886 0.5021
Zn 0.5021 0.9886 0.9886
Zn 0.9028 0.9028 0.9028
Zn 0.1073 0.1073 0.1073